A plane-wave DFT calculation with GGA-PBE was carried out for crystalline MoAs2P at its relaxed geometry.

Computed properties:
Total magnetic moment, μB/cell: 0.000
Total DFT energy (no corrections), Ry/atom: -0.4356
V, Å³/cell: 69
Energy of formation from the pure elements, eV per atom: 0.459
Crystal system: orthorhombic

Cell: 2.8169 2.8169 9.1419 Å, 90.00 90.00 108.17°
Sites, in units of the cell vectors:
As: 0.0000 0.0000 0.4758
As: 0.0000 0.0000 0.0242
Mo: 0.5000 0.5000 0.2500
P: 0.5000 0.5000 0.7500



A plane-wave DFT calculation with GGA-PBE was carried out for crystalline NaReS3 at its relaxed geometry.

Computed properties:
Total magnetic moment, μB/cell: 0.000
Energy relative to the lowest polymorph listed for this composition, eV/f.u.: 0.000
Total DFT energy (no corrections), Ry/atom: -0.4192
V, Å³/cell: 410
Formation energy without anion corrections, meV/atom: -473
Crystal system: monoclinic

Cell: 5.9006 8.3987 8.2725 Å, 90.57 90.00 90.00°
Sites, in units of the cell vectors:
S: 0.9304 0.0480 0.6599
S: 0.4041 0.6999 0.1694
S: 0.4309 0.2065 0.5534
S: 0.4304 0.9520 0.8401
S: 0.0959 0.6999 0.6694
S: 0.5691 0.7935 0.4466
S: 0.5696 0.0480 0.1599
S: 0.9041 0.3001 0.3306
S: 0.0696 0.9520 0.3401
S: 0.0691 0.2065 0.0534
S: 0.9309 0.7935 0.9466
S: 0.5959 0.3001 0.8306
Re: 0.2021 0.9402 0.0750
Re: 0.7979 0.0598 0.9250
Re: 0.2979 0.9402 0.5750
Re: 0.7021 0.0598 0.4250
Na: 0.4762 0.3720 0.1799
Na: 0.0238 0.3720 0.6799
Na: 0.9762 0.6280 0.3201
Na: 0.5238 0.6280 0.8201



Which of these has the lowest total DFT energy (no corrections)? MoAs2P



V of number 1 (MoAs2P)? 69 Å³/cell